Below is AgSb2F11 after structural relaxation, with properties calculated at the PBE level.

* E_form (uncorrected): -2106 meV per atom
* SG: Ibam (72)
* calculated density: 4.0 Mg/m³
* M_tot: 0.379 μB per cell

a = 8.498 Å, b = 8.498 Å, c = 8.498 Å
α = 113.45°, β = 113.22°, γ = 102.00°
Sites, in units of the cell vectors:
1 Ag 0.250 0.250 0.000
2 Ag 0.750 0.750 0.000
3 Sb 0.159 0.657 0.816
4 Sb 0.341 0.157 0.498
5 Sb 0.659 0.843 0.502
6 Sb 0.841 0.343 0.184
7 F 0.000 0.500 0.500
8 F 0.074 0.373 0.193
9 F 0.119 0.922 0.294
10 F 0.128 0.422 0.803
11 F 0.180 0.881 0.807
12 F 0.197 0.298 0.495
13 F 0.303 0.798 0.100
14 F 0.320 0.127 0.701
15 F 0.372 0.176 0.294
16 F 0.381 0.676 0.803
17 F 0.426 0.619 0.299
18 F 0.500 0.000 0.500
19 F 0.574 0.381 0.701
20 F 0.619 0.324 0.197
21 F 0.628 0.824 0.706
22 F 0.680 0.873 0.299
23 F 0.697 0.202 0.900
24 F 0.803 0.702 0.505
25 F 0.820 0.119 0.193
26 F 0.872 0.578 0.197
27 F 0.881 0.078 0.706
28 F 0.926 0.627 0.807